An optimized crystal structure of Nb2SF8, computed with PBE.

Output
Formation energy from raw total energies   -2.6458 eV per atom
SG   C2/m, No. 12
Crystal system   monoclinic
Spin magnetization   0.06 μB per cell

Unit cell a=5.535 b=5.535 c=7.507 alpha=95.80 beta=95.80 gamma=112.03
Sites, in units of the cell vectors:
Nb 0.130 0.130 0.225
Nb 0.870 0.870 0.775
S 0.000 0.000 0.500
F 0.095 0.685 0.806
F 0.178 0.178 0.949
F 0.315 0.905 0.194
F 0.434 0.434 0.303
F 0.566 0.566 0.697
F 0.685 0.095 0.806
F 0.822 0.822 0.051
F 0.905 0.315 0.194

An optimized crystal structure of Cu2TeO5, computed with PBE.

Output
Formation energy from raw total energies   -0.6515 eV per atom
SG   Cmcm, No. 63
Crystal system   orthorhombic
Spin magnetization   2.24 μB per cell

Unit cell a=5.562 b=5.562 c=9.735 alpha=90.00 beta=90.00 gamma=137.92
Sites, in units of the cell vectors:
Cu 0.135 0.865 0.576
Cu 0.135 0.865 0.924
Cu 0.865 0.135 0.076
Cu 0.865 0.135 0.424
Te 0.202 0.798 0.250
Te 0.798 0.202 0.750
O 0.070 0.930 0.113
O 0.070 0.930 0.387
O 0.243 0.757 0.750
O 0.331 0.669 0.100
O 0.331 0.669 0.400
O 0.669 0.331 0.600
O 0.669 0.331 0.900
O 0.757 0.243 0.250
O 0.930 0.070 0.613
O 0.930 0.070 0.887

An optimized crystal structure of Mg2Sc5CdPt2, computed with PBE.

Output
SG   P4/mbm, No. 127
ΔH_f (0 K)   -56.73 kJ/mol of atoms
Crystal system   tetragonal
Spin magnetization   0.00 μB per cell

Unit cell a=11.225 b=11.225 c=3.556 alpha=90.00 beta=90.00 gamma=90.00
Sites, in units of the cell vectors:
Mg 0.174 0.326 0.000
Mg 0.326 0.826 0.000
Mg 0.674 0.174 0.000
Mg 0.826 0.674 0.000
Sc 0.000 0.500 0.500
Sc 0.071 0.797 0.500
Sc 0.203 0.071 0.500
Sc 0.297 0.571 0.500
Sc 0.429 0.297 0.500
Sc 0.500 0.000 0.500
Sc 0.571 0.703 0.500
Sc 0.703 0.429 0.500
Sc 0.797 0.929 0.500
Sc 0.929 0.203 0.500
Cd 0.000 0.000 0.000
Cd 0.500 0.500 0.000
Pt 0.131 0.631 0.000
Pt 0.369 0.131 0.000
Pt 0.631 0.869 0.000
Pt 0.869 0.369 0.000

An optimized crystal structure of Th2Sc3Zn4, computed with PBE.

Output
SG   Cmce, No. 64
ΔH_f (0 K)   -14.70 kJ/mol of atoms
Crystal system   orthorhombic
Spin magnetization   0.00 μB per cell

Unit cell a=8.878 b=8.878 c=7.702 alpha=90.00 beta=90.00 gamma=137.87
Sites, in units of the cell vectors:
Th 0.094 0.906 0.906
Th 0.406 0.594 0.406
Th 0.594 0.406 0.594
Th 0.906 0.094 0.094
Sc 0.000 0.000 0.500
Sc 0.009 0.491 0.750
Sc 0.491 0.009 0.250
Sc 0.500 0.500 0.000
Sc 0.509 0.991 0.750
Sc 0.991 0.509 0.250
Zn 0.167 0.833 0.515
Zn 0.180 0.320 0.750
Zn 0.320 0.180 0.250
Zn 0.333 0.667 0.015
Zn 0.667 0.333 0.985
Zn 0.680 0.820 0.750
Zn 0.820 0.680 0.250
Zn 0.833 0.167 0.485

An optimized crystal structure of Ni2POs, computed with PBE.

Output
SG   I4/mmm, No. 139
ΔH_f (0 K)   17.74 kJ/mol of atoms
Crystal system   tetragonal
Spin magnetization   1.16 μB per cell

Unit cell a=4.606 b=4.606 c=4.606 alpha=135.01 beta=135.01 gamma=65.51
Sites, in units of the cell vectors:
Ni 0.250 0.750 0.500
Ni 0.750 0.250 0.500
P 0.000 0.000 0.000
Os 0.500 0.500 0.000

An optimized crystal structure of LiPa2Rh8, computed with PBE.

Output
SG   Immm, No. 71
ΔH_f (0 K)   -44.12 kJ/mol of atoms
Crystal system   orthorhombic
Spin magnetization   0.00 μB per cell

Unit cell a=7.586 b=7.586 c=7.586 alpha=145.69 beta=133.03 gamma=59.44
Sites, in units of the cell vectors:
Li 0.000 0.000 0.000
Pa 0.308 0.308 0.000
Pa 0.692 0.692 0.000
Rh 0.141 0.871 0.270
Rh 0.172 0.672 0.500
Rh 0.277 0.500 0.777
Rh 0.400 0.129 0.270
Rh 0.600 0.871 0.730
Rh 0.723 0.500 0.223
Rh 0.828 0.328 0.500
Rh 0.859 0.129 0.730

An optimized crystal structure of Li3Mg2ZrS6, computed with PBE.

Output
Formation energy from raw total energies   -1.3142 eV per atom
SG   C2/m, No. 12
Crystal system   monoclinic
Spin magnetization   0.00 μB per cell

Unit cell a=6.379 b=6.379 c=6.442 alpha=99.54 beta=99.54 gamma=119.98
Sites, in units of the cell vectors:
Li 0.000 0.000 0.000
Li 0.336 0.664 0.000
Li 0.664 0.336 0.000
Mg 0.167 0.833 0.500
Mg 0.833 0.167 0.500
Zr 0.500 0.500 0.500
S 0.088 0.419 0.256
S 0.250 0.250 0.742
S 0.419 0.088 0.256
S 0.581 0.912 0.744
S 0.750 0.750 0.258
S 0.912 0.581 0.744

An optimized crystal structure of LiPrTh2, computed with PBE.

Output
SG   R-3m, No. 166
ΔH_f (0 K)   28.09 kJ/mol of atoms
Crystal system   trigonal
Spin magnetization   0.00 μB per cell

Unit cell a=13.024 b=13.024 c=13.024 alpha=15.14 beta=15.14 gamma=15.14
Sites, in units of the cell vectors:
Li 0.000 0.000 0.000
Pr 0.500 0.500 0.500
Th 0.086 0.086 0.086
Th 0.914 0.914 0.914

An optimized crystal structure of Li2PF, computed with PBE.

Output
Formation energy from raw total energies   -0.7331 eV per atom
SG   Fm-3m, No. 225
Crystal system   cubic
Spin magnetization   2.00 μB per cell

Unit cell a=4.317 b=4.317 c=4.317 alpha=60.00 beta=60.00 gamma=60.00
Sites, in units of the cell vectors:
Li 0.250 0.250 0.250
Li 0.750 0.750 0.750
P 0.000 0.000 0.000
F 0.500 0.500 0.500

An optimized crystal structure of ZnAg2Te, computed with PBE.

Output
Formation energy from raw total energies   0.1520 eV per atom
SG   Cmm2, No. 35
Crystal system   orthorhombic
Spin magnetization   0.00 μB per cell

Unit cell a=3.098 b=3.098 c=8.793 alpha=90.00 beta=90.00 gamma=90.80
Sites, in units of the cell vectors:
Zn 0.000 0.000 0.000
Ag 0.000 0.000 0.412
Ag 0.500 0.500 0.187
Te 0.500 0.500 0.693

An optimized crystal structure of ErPa2Fe2, computed with PBE.

Output
SG   P-1, No. 2
ΔH_f (0 K)   -10.55 kJ/mol of atoms
Crystal system   triclinic
Spin magnetization   0.00 μB per cell

Unit cell a=3.500 b=6.362 c=9.749 alpha=77.83 beta=79.67 gamma=74.11
Sites, in units of the cell vectors:
Er 0.185 0.485 0.146
Er 0.815 0.515 0.854
Pa 0.337 0.764 0.563
Pa 0.427 0.934 0.206
Pa 0.573 0.066 0.794
Pa 0.663 0.236 0.437
Fe 0.043 0.327 0.603
Fe 0.115 0.853 0.917
Fe 0.885 0.147 0.083
Fe 0.957 0.673 0.397

An optimized crystal structure of Sm10Y4Er, computed with PBE.

Output
SG   I4/m, No. 87
ΔH_f (0 K)   70.57 kJ/mol of atoms
Crystal system   tetragonal
Spin magnetization   0.00 μB per cell

Unit cell a=9.537 b=9.537 c=9.537 alpha=99.56 beta=99.56 gamma=131.90
Sites, in units of the cell vectors:
Sm 0.050 0.150 0.702
Sm 0.150 0.448 0.100
Sm 0.250 0.750 0.500
Sm 0.348 0.050 0.900
Sm 0.448 0.348 0.298
Sm 0.552 0.652 0.702
Sm 0.652 0.950 0.100
Sm 0.750 0.250 0.500
Sm 0.850 0.552 0.900
Sm 0.950 0.850 0.298
Y 0.201 0.600 0.801
Y 0.400 0.201 0.600
Y 0.600 0.799 0.400
Y 0.799 0.400 0.199
Er 0.000 0.000 0.000

An optimized crystal structure of MgCdGaFe2, computed with PBE.

Output
SG   P4/mmm, No. 123
ΔH_f (0 K)   115.30 kJ/mol of atoms
Crystal system   tetragonal
Spin magnetization   5.44 μB per cell

Unit cell a=4.660 b=4.660 c=4.814 alpha=90.00 beta=90.00 gamma=90.00
Sites, in units of the cell vectors:
Mg 0.000 0.000 0.000
Cd 0.500 0.500 0.500
Ga 0.000 0.000 0.500
Fe 0.000 0.500 0.000
Fe 0.500 0.000 0.000

An optimized crystal structure of TaMo3, computed with PBE.

Output
SG   P-6m2, No. 187
ΔH_f (0 K)   38.14 kJ/mol of atoms
Crystal system   hexagonal
Spin magnetization   0.00 μB per cell

Unit cell a=2.797 b=2.797 c=9.894 alpha=90.00 beta=90.00 gamma=120.00
Sites, in units of the cell vectors:
Ta 0.000 0.000 0.000
Mo 0.000 0.000 0.500
Mo 0.667 0.333 0.256
Mo 0.667 0.333 0.744

An optimized crystal structure of PrTmPa, computed with PBE.

Output
SG   I4mm, No. 107
ΔH_f (0 K)   17.12 kJ/mol of atoms
Crystal system   tetragonal
Spin magnetization   0.00 μB per cell

Unit cell a=8.078 b=8.078 c=8.078 alpha=155.57 beta=155.57 gamma=34.82
Sites, in units of the cell vectors:
Pr 0.000 0.000 0.000
Tm 0.689 0.689 0.000
Pa 0.340 0.340 0.000

An optimized crystal structure of MgReBr, computed with PBE.

Output
Formation energy from raw total energies   0.6149 eV per atom
SG   P3m1, No. 156
Crystal system   trigonal
Spin magnetization   0.00 μB per cell

Unit cell a=3.113 b=3.113 c=6.582 alpha=90.00 beta=90.00 gamma=120.00
Sites, in units of the cell vectors:
Mg 0.000 0.000 0.000
Re 0.667 0.333 0.321
Br 0.333 0.667 0.621

An optimized crystal structure of BaSc2As, computed with PBE.

Output
SG   Imm2, No. 44
ΔH_f (0 K)   -34.26 kJ/mol of atoms
Crystal system   orthorhombic
Spin magnetization   1.16 μB per cell

Unit cell a=8.697 b=8.697 c=8.697 alpha=155.64 beta=153.07 gamma=36.63
Sites, in units of the cell vectors:
Ba 0.000 0.000 0.000
Sc 0.314 0.814 0.500
Sc 0.672 0.672 0.000
As 0.808 0.308 0.500

An optimized crystal structure of TaIn2Se5, computed with PBE.

Output
Formation energy from raw total energies   -0.4640 eV per atom
SG   Cmcm, No. 63
Crystal system   orthorhombic
Spin magnetization   0.00 μB per cell

Unit cell a=7.490 b=7.490 c=13.685 alpha=90.00 beta=90.00 gamma=141.41
Sites, in units of the cell vectors:
Ta 0.179 0.821 0.750
Ta 0.821 0.179 0.250
In 0.146 0.854 0.036
In 0.146 0.854 0.464
In 0.854 0.146 0.536
In 0.854 0.146 0.964
Se 0.047 0.953 0.628
Se 0.047 0.953 0.872
Se 0.269 0.731 0.250
Se 0.306 0.694 0.600
Se 0.306 0.694 0.900
Se 0.694 0.306 0.100
Se 0.694 0.306 0.400
Se 0.731 0.269 0.750
Se 0.953 0.047 0.128
Se 0.953 0.047 0.372

An optimized crystal structure of InCuIrPt, computed with PBE.

Output
SG   F-43m, No. 216
ΔH_f (0 K)   -9.19 kJ/mol of atoms
Crystal system   cubic
Spin magnetization   0.00 μB per cell

Unit cell a=4.455 b=4.455 c=4.455 alpha=60.00 beta=60.00 gamma=60.00
Sites, in units of the cell vectors:
In 0.000 0.000 0.000
Cu 0.500 0.500 0.500
Ir 0.250 0.250 0.250
Pt 0.750 0.750 0.750

An optimized crystal structure of Ta4RuRh3, computed with PBE.

Output
SG   C2/m, No. 12
ΔH_f (0 K)   -40.69 kJ/mol of atoms
Crystal system   monoclinic
Spin magnetization   0.00 μB per cell

Unit cell a=8.100 b=8.100 c=4.115 alpha=104.62 beta=104.62 gamma=29.42
Sites, in units of the cell vectors:
Ta 0.123 0.123 0.123
Ta 0.377 0.377 0.377
Ta 0.623 0.623 0.623
Ta 0.877 0.877 0.877
Ru 0.000 0.000 0.500
Rh 0.251 0.251 0.751
Rh 0.500 0.500 0.000
Rh 0.749 0.749 0.249